DFT (GGA+U) results for a geometry-optimized Ba2V3BiO11 structure.

## Properties
Symmetry ... P2_1/c
Crystal system ... monoclinic
Energy ... -7.1780 eV/atom

abc: 12.5488 7.8449 11.5638
angles: 90.00 103.38 90.00
With the nearest neighbours (Å) after each atom.
Sites, in units of the cell vectors:
Ba: 0.0554 0.2481 0.3931  8 O 2.81-2.99
Ba: 0.0554 0.2519 0.8931  8 O 2.81-2.99
Ba: 0.2675 0.7264 0.9445  7 O 2.76-2.96
Ba: 0.2675 0.7736 0.4445  7 O 2.76-2.96
Ba: 0.7325 0.2264 0.5555  7 O 2.76-2.96
Ba: 0.7325 0.2736 0.0555  7 O 2.76-2.96
Ba: 0.9446 0.7481 0.1069  8 O 2.81-2.99
Ba: 0.9446 0.7519 0.6069  8 O 2.81-2.99
V: 0.1797 0.0164 0.1765  4 O 1.70-1.82
V: 0.1797 0.4836 0.6765  4 O 1.70-1.82
V: 0.1900 0.0228 0.6732  4 O 1.70-1.83
V: 0.1900 0.4772 0.1732  4 O 1.70-1.83
V: 0.4030 0.2481 0.9780  4 O 1.70-1.81
V: 0.4030 0.2519 0.4780  4 O 1.70-1.81
V: 0.5970 0.7481 0.5220  4 O 1.70-1.81
V: 0.5970 0.7519 0.0220  4 O 1.70-1.81
V: 0.8100 0.5228 0.8268  4 O 1.70-1.83
V: 0.8100 0.9772 0.3268  4 O 1.70-1.83
V: 0.8203 0.5164 0.3235  4 O 1.70-1.82
V: 0.8203 0.9836 0.8235  4 O 1.70-1.82
Bi: 0.4915 0.5041 0.7325  5 O 2.25-2.45
Bi: 0.4915 0.9959 0.2325  5 O 2.25-2.45
Bi: 0.5085 0.0041 0.7675  5 O 2.25-2.45
Bi: 0.5085 0.4959 0.2675  5 O 2.25-2.45
O: 0.1017 0.5565 0.7690  1 V 1.71
O: 0.1017 0.9435 0.2690  1 V 1.71
O: 0.1136 0.5603 0.0440  1 V 1.71
O: 0.1136 0.9397 0.5440  1 V 1.71
O: 0.1223 0.5590 0.5383  1 V 1.70
O: 0.1223 0.9410 0.0383  1 V 1.70
O: 0.1380 0.5536 0.2859  1 V 1.70
O: 0.1380 0.9464 0.7859  1 V 1.70
O: 0.1671 0.2472 0.1680  2 V 1.82-1.83
O: 0.1671 0.2528 0.6680  2 V 1.82-1.83
O: 0.2833 0.1425 0.4477  1 V 1.70
O: 0.2833 0.3575 0.9477  1 V 1.70
O: 0.3106 0.5667 0.7278  1 V 1.74
O: 0.3106 0.9333 0.2278  1 V 1.74
O: 0.3241 0.5456 0.1889  1 V 1.74
O: 0.3241 0.9544 0.6889  1 V 1.74
O: 0.3788 0.0361 0.9942  1 V 1.71
O: 0.3788 0.4639 0.4942  1 V 1.71
O: 0.4745 0.2265 0.3596  1 V 1.81
O: 0.4745 0.2735 0.8596  1 V 1.81
O: 0.4935 0.1869 0.6148  1 V 1.79
O: 0.4935 0.3131 0.1148  1 V 1.79
O: 0.5065 0.6869 0.8852  1 V 1.79
O: 0.5065 0.8131 0.3852  1 V 1.79
O: 0.5255 0.7265 0.1404  1 V 1.81
O: 0.5255 0.7735 0.6404  1 V 1.81
O: 0.6212 0.5361 0.5058  1 V 1.71
O: 0.6212 0.9639 0.0058  1 V 1.71
O: 0.6759 0.0456 0.3111  1 V 1.74
O: 0.6759 0.4544 0.8111  1 V 1.74
O: 0.6894 0.0667 0.7722  1 V 1.74
O: 0.6894 0.4333 0.2722  1 V 1.74
O: 0.7167 0.6425 0.0523  1 V 1.70
O: 0.7167 0.8575 0.5523  1 V 1.70
O: 0.8329 0.7472 0.3320  2 V 1.82-1.83
O: 0.8329 0.7528 0.8320  2 V 1.82-1.83
O: 0.8620 0.0536 0.2141  1 V 1.70
O: 0.8620 0.4464 0.7141  1 V 1.70
O: 0.8777 0.0590 0.9617  1 V 1.70
O: 0.8777 0.4410 0.4617  1 V 1.70
O: 0.8864 0.0603 0.4560  1 V 1.71
O: 0.8864 0.4397 0.9560  1 V 1.71
O: 0.8983 0.0565 0.7310  1 V 1.71
O: 0.8983 0.4435 0.2310  1 V 1.71